[1]
The following is a PBE calculation of a relaxed structure of CaSeBr2, from the Alexandria database. Values from VASP.

Properties
The value obtained for the total magnetization is 0.000 μB/atom. The value obtained for the final energy is -11.946 eV for the cell shown. Its energy relative to the elements, uncorrected is -301 kJ/mol of formula units. The calculation puts the excess energy over the best structure of this formula in the dataset at 0.457 eV/atom.

Cell and atoms, written as Quantum ESPRESSO input:
```
&SYSTEM
  ibrav = 0, nat = 4, ntyp = 3
/
ATOMIC_SPECIES
Ca 40.08 Ca.upf
Se 78.96 Se.upf
Br 79.90 Br.upf
ATOMIC_POSITIONS angstrom
Ca 0.000 0.000 0.000
Se 2.435 2.435 0.000
Br 0.000 2.435 2.185
Br 2.435 0.000 2.185
CELL_PARAMETERS angstrom
4.870 0.000 0.000
0.000 4.870 0.000
0.000 0.000 4.370
```

[2]
The following is a PBE calculation of a relaxed structure of ThTeH, from the Alexandria database. Values from VASP.

Properties
The value obtained for the total magnetization is 0.000 μB/atom. The value obtained for the final energy is -31.176 eV for the cell shown.

Cell and atoms, written as Quantum ESPRESSO input:
```
&SYSTEM
  ibrav = 0, nat = 6, ntyp = 3
/
ATOMIC_SPECIES
Th 232.04 Th.upf
Te 127.60 Te.upf
H 1.01 H.upf
ATOMIC_POSITIONS angstrom
Th 0.000 0.000 0.000
Th 1.827 1.827 5.153
Te 0.000 0.000 3.222
Te 1.827 1.827 8.375
H 0.000 0.000 5.927
H 1.827 1.827 0.774
CELL_PARAMETERS angstrom
3.654 0.000 0.000
0.000 3.654 0.000
0.000 0.000 10.306
```

[3]
The following is a PBE calculation of a relaxed structure of Ac8Nd2Dy, from the Alexandria database. Values from VASP.

Properties
The value obtained for the total magnetization is 0.000 μB/atom. The value obtained for the final energy is -46.599 eV for the cell shown. As for the formation energy: 0.406 eV/f.u.

Cell and atoms, written as Quantum ESPRESSO input:
```
&SYSTEM
  ibrav = 0, nat = 11, ntyp = 3
/
ATOMIC_SPECIES
Ac 227.00 Ac.upf
Nd 144.24 Nd.upf
Dy 162.50 Dy.upf
ATOMIC_POSITIONS angstrom
Ac 0.391 0.000 1.929
Ac 1.127 0.000 5.768
Ac 4.943 0.000 4.920
Ac 7.929 0.000 0.410
Ac 9.512 0.000 7.985
Ac 12.498 0.000 3.476
Ac 16.314 0.000 2.627
Ac 17.049 0.000 6.466
Nd 4.160 0.000 1.121
Nd 13.280 0.000 7.274
Dy 8.720 0.000 4.198
CELL_PARAMETERS angstrom
9.876 -2.778 0.000
9.876 2.778 0.000
-2.312 0.000 8.395
```

[4]
The following is a PBE calculation of a relaxed structure of UWS, from the Alexandria database. Values from VASP.

Properties
The value obtained for the total magnetization is 0.552 μB/atom. The value obtained for the final energy is -59.561 eV for the cell shown. Its energy relative to the elements, uncorrected is -136 kJ/mol of formula units.

Cell and atoms, written as Quantum ESPRESSO input:
```
&SYSTEM
  ibrav = 0, nat = 6, ntyp = 3
/
ATOMIC_SPECIES
U 238.03 U.upf
W 183.84 W.upf
S 32.06 S.upf
ATOMIC_POSITIONS angstrom
U 0.917 0.917 1.633
U 2.750 2.750 6.781
W 0.917 0.917 4.807
W 2.750 2.750 3.608
S 0.917 0.917 7.256
S 2.750 2.750 1.158
CELL_PARAMETERS angstrom
3.666 0.000 0.000
0.000 3.666 0.000
0.000 0.000 8.414
```